[1]
Dy3ErTh: optimized geometry, GGA-PBE. Values from VASP.

## Properties
**Space group**: P2_1/m
**Relative energy among the computed polymorphs**: 8.2 meV per atom

```
&SYSTEM
  ibrav = 0, nat = 10, ntyp = 3
/
ATOMIC_SPECIES
Dy 162.50 Dy.upf
Er 167.26 Er.upf
Th 232.04 Th.upf
ATOMIC_POSITIONS crystal
Dy 0.065 0.250 0.302
Dy 0.133 0.750 0.102
Dy 0.264 0.250 0.698
Dy 0.736 0.750 0.302
Dy 0.867 0.250 0.898
Dy 0.935 0.750 0.698
Er 0.468 0.250 0.101
Er 0.532 0.750 0.899
Th 0.347 0.750 0.500
Th 0.653 0.250 0.500
CELL_PARAMETERS angstrom
6.227 0.000 0.000
0.000 5.700 0.000
-3.111 0.000 8.999
```



[2]
Ce2NdPaS4: optimized geometry, GGA-PBE. Values from VASP.

## Properties
**Space group**: P2/m
**Uncorrected formation energy**: -1.915 eV/atom

```
&SYSTEM
  ibrav = 0, nat = 8, ntyp = 4
/
ATOMIC_SPECIES
Ce 140.12 Ce.upf
Nd 144.24 Nd.upf
Pa 231.04 Pa.upf
S 32.06 S.upf
ATOMIC_POSITIONS crystal
Ce 0.000 0.000 0.000
Ce 0.000 0.500 0.500
Nd 0.500 0.000 0.500
Pa 0.500 0.500 0.000
S 0.252 0.500 0.245
S 0.255 0.000 0.756
S 0.745 0.000 0.244
S 0.748 0.500 0.755
CELL_PARAMETERS angstrom
6.922 0.000 0.000
0.000 3.985 0.000
-2.292 0.000 6.546
```



[3]
BaYTe: optimized geometry, GGA-PBE. Values from VASP.

## Properties
**Space group**: F-43m
**Uncorrected formation energy**: -0.516 eV/atom
**Relative energy among the computed polymorphs**: 276.0 meV per atom

```
&SYSTEM
  ibrav = 0, nat = 3, ntyp = 3
/
ATOMIC_SPECIES
Ba 137.33 Ba.upf
Y 88.91 Y.upf
Te 127.60 Te.upf
ATOMIC_POSITIONS crystal
Ba 0.000 0.000 0.000
Y 0.500 0.500 0.500
Te 0.250 0.250 0.250
CELL_PARAMETERS angstrom
0.000 3.839 3.839
3.839 0.000 3.839
3.839 3.839 0.000
```



[4]
HoThTl3: optimized geometry, GGA-PBE. Values from VASP.

## Properties
**Space group**: Cmce
**Total energy**: -3.9182 eV per atom

```
&SYSTEM
  ibrav = 0, nat = 20, ntyp = 3
/
ATOMIC_SPECIES
Ho 164.93 Ho.upf
Th 232.04 Th.upf
Tl 204.38 Tl.upf
ATOMIC_POSITIONS crystal
Ho 0.131 0.369 0.250
Ho 0.369 0.131 0.750
Ho 0.631 0.869 0.250
Ho 0.869 0.631 0.750
Th 0.154 0.846 0.424
Th 0.346 0.654 0.924
Th 0.654 0.346 0.076
Th 0.846 0.154 0.576
Tl 0.029 0.301 0.903
Tl 0.081 0.919 0.787
Tl 0.199 0.471 0.597
Tl 0.301 0.029 0.097
Tl 0.419 0.581 0.287
Tl 0.471 0.199 0.403
Tl 0.529 0.801 0.597
Tl 0.581 0.419 0.713
Tl 0.699 0.971 0.903
Tl 0.801 0.529 0.403
Tl 0.919 0.081 0.213
Tl 0.971 0.699 0.097
CELL_PARAMETERS angstrom
5.963 -5.606 0.000
5.963 5.606 0.000
0.000 0.000 8.731
```



[5]
K2ReMo: optimized geometry, GGA-PBE. Values from VASP.

## Properties
**Space group**: Cmm2
**Relative energy among the computed polymorphs**: 224.6 meV per atom

```
&SYSTEM
  ibrav = 0, nat = 4, ntyp = 3
/
ATOMIC_SPECIES
K 39.10 K.upf
Re 186.21 Re.upf
Mo 95.94 Mo.upf
ATOMIC_POSITIONS crystal
K 0.000 0.000 0.000
K 0.500 0.500 0.349
Re 0.500 0.500 0.752
Mo 0.000 0.000 0.608
CELL_PARAMETERS angstrom
1.711 -2.584 0.000
1.711 2.584 0.000
0.000 0.000 11.960
```



[6]
TbEr2Cd3: optimized geometry, GGA-PBE. Values from VASP.

## Properties
**Space group**: P-3m1
**Total energy**: -3.0681 eV per atom

```
&SYSTEM
  ibrav = 0, nat = 6, ntyp = 3
/
ATOMIC_SPECIES
Tb 158.93 Tb.upf
Er 167.26 Er.upf
Cd 112.41 Cd.upf
ATOMIC_POSITIONS crystal
Tb 0.000 0.000 0.000
Er 0.333 0.667 0.663
Er 0.667 0.333 0.337
Cd 0.000 0.000 0.500
Cd 0.333 0.667 0.166
Cd 0.667 0.333 0.834
CELL_PARAMETERS angstrom
5.266 0.000 0.000
-2.633 4.561 0.000
0.000 0.000 6.471
```



[7]
SrCe3: optimized geometry, GGA-PBE. Values from VASP.

## Properties
**Space group**: Pm-3m
**Total energy**: -4.4899 eV per atom

```
&SYSTEM
  ibrav = 0, nat = 4, ntyp = 2
/
ATOMIC_SPECIES
Sr 87.62 Sr.upf
Ce 140.12 Ce.upf
ATOMIC_POSITIONS crystal
Sr 0.000 0.000 0.000
Ce 0.000 0.500 0.500
Ce 0.500 0.000 0.500
Ce 0.500 0.500 0.000
CELL_PARAMETERS angstrom
5.102 0.000 0.000
0.000 5.102 0.000
0.000 0.000 5.102
```